A relaxed structure of KRe2Hg, computed with PBE.

Structure (POSCAR):
```
KRe2Hg
1.0
2.757 0.000 0.000
0.000 4.905 0.000
0.000 0.000 7.087
Hg K Re
1 1 2
direct
0.500 0.500 0.250
0.500 0.500 0.750
0.000 0.000 0.090
0.000 0.000 0.410
```

Calculated values
**Crystal system**: orthorhombic
**Fermi-level density of states**: 4.26 states/eV/cell
**Energy relative to the elements**: 1242 meV/atom
**Space-group type**: Pmmm (47)